The following is a DFT calculation (GGA-PBE) of La6Sm5Th2 after structural relaxation.

Total moment   0.00 μB/f.u.
Calculated volume   922 Å³ per cell
Total energy   -5.113 eV per atom

a = 3.662 Å, b = 11.760 Å, c = 21.414 Å
α = 90.00°, β = 90.00°, γ = 90.00°
Positions (direct):
La1 0.000 0.412 0.559
La2 0.000 0.088 0.059
La3 0.500 0.818 0.375
La4 0.000 0.588 0.441
La5 0.000 0.931 0.645
La6 0.000 0.431 0.855
La7 0.000 0.069 0.355
La8 0.000 0.912 0.941
La9 0.500 0.182 0.625
La10 0.500 0.682 0.875
La11 0.500 0.318 0.125
La12 0.000 0.569 0.145
Th1 0.000 0.192 0.764
Th2 0.000 0.308 0.264
Th3 0.000 0.692 0.736
Th4 0.000 0.808 0.236
Sm1 0.500 0.061 0.207
Sm2 0.500 0.682 0.588
Sm3 0.500 0.500 0.000
Sm4 0.500 0.818 0.088
Sm5 0.500 0.439 0.707
Sm6 0.500 0.182 0.912
Sm7 0.500 0.000 0.500
Sm8 0.500 0.318 0.412
Sm9 0.500 0.939 0.793
Sm10 0.500 0.561 0.293